The following is a DFT calculation (PBEsol) of a relaxed TaTi2ZnTe crystal.

Lattice parameters (Å, degrees): 4.585 4.585 4.857 90.00 90.00 90.00
Positions (direct):
Ta1 0.000 0.000 0.000
Ti1 0.000 0.500 0.500
Ti2 0.500 0.000 0.500
Zn1 0.500 0.500 0.500
Te1 0.500 0.500 0.000

total energy = -5.734 eV per atom
space group = P4/mmm (123)
formation energy (no corrections) = 1127 meV/atom


The following is a DFT calculation (PBEsol) of a relaxed Li3TiNi2O6 crystal.

Lattice parameters (Å, degrees): 5.760 5.775 6.533 102.77 102.93 90.08
Positions (direct):
Li1 0.000 0.000 0.000
Li2 0.000 0.500 0.000
Li3 0.326 0.337 0.348
Li4 0.326 0.837 0.352
Li5 0.674 0.163 0.648
Li6 0.674 0.663 0.652
Ti1 0.500 0.000 0.000
Ti2 0.500 0.500 0.000
Ni1 0.163 0.167 0.666
Ni2 0.166 0.666 0.667
Ni3 0.834 0.334 0.333
Ni4 0.837 0.833 0.334
O1 0.059 0.097 0.341
O2 0.060 0.573 0.336
O3 0.269 0.250 0.005
O4 0.273 0.754 0.017
O5 0.407 0.430 0.683
O6 0.408 0.911 0.680
O7 0.592 0.089 0.320
O8 0.593 0.570 0.317
O9 0.727 0.246 0.983
O10 0.731 0.750 0.995
O11 0.940 0.427 0.664
O12 0.941 0.903 0.659

total energy = -6.670 eV per atom
space group = P-1 (2)
formation energy (no corrections) = -1834 meV/atom